The following is a PBE calculation of crystalline AcSm2Te5 at its relaxed geometry, from Alexandria via LeMat-Bulk.

Unit cell a=9.3710 b=9.3710 c=9.3710 alpha=126.75 beta=126.75 gamma=78.66
Sites, in units of the cell vectors:
1 Ac 0.2500 0.2500 0.0000
2 Ac 0.7500 0.7500 0.0000
3 Sm 0.1525 0.6525 0.8051
4 Sm 0.3475 0.1525 0.5000
5 Sm 0.6525 0.8475 0.5000
6 Sm 0.8475 0.3475 0.1949
7 Te 0.0000 0.0000 0.0000
8 Te 0.0076 0.2011 0.5000
9 Te 0.2011 0.7011 0.1935
10 Te 0.2989 0.4924 0.5000
11 Te 0.4924 0.9924 0.1935
12 Te 0.5000 0.5000 0.0000
13 Te 0.5076 0.0076 0.8065
14 Te 0.7011 0.5076 0.5000
15 Te 0.7989 0.2989 0.8065
16 Te 0.9924 0.7989 0.5000

Values from the calculation:
The calculation puts the total energy at -5.0037 eV/atom. The formation energy (no corrections) is -1.347 eV/atom.

---

The following is a PBE calculation of crystalline EuCuSn at its relaxed geometry, from Alexandria via LeMat-Bulk.

Unit cell a=4.7457 b=4.7457 c=4.7457 alpha=60.00 beta=60.00 gamma=60.00
Sites, in units of the cell vectors:
1 Eu 0.0000 0.0000 0.0000
2 Cu 0.2500 0.2500 0.2500
3 Sn 0.5000 0.5000 0.5000

Values from the calculation:
The calculation puts the total energy at -6.4754 eV/atom. The formation enthalpy at 0 K comes out at -351 meV per atom.

---

The following is a PBE calculation of crystalline ZrFeOs2N at its relaxed geometry, from Alexandria via LeMat-Bulk.

Unit cell a=4.0930 b=4.0930 c=4.0094 alpha=90.00 beta=90.00 gamma=90.00
Sites, in units of the cell vectors:
1 Zr 0.0000 0.0000 0.0000
2 Fe 0.5000 0.5000 0.0000
3 Os 0.0000 0.5000 0.5000
4 Os 0.5000 0.0000 0.5000
5 N 0.5000 0.5000 0.5000

Values from the calculation:
The calculation puts the total energy at -9.5288 eV/atom. The formation energy (no corrections) is 0.030 eV/atom.

---

The following is a PBE calculation of crystalline Rb2LaInCl6 at its relaxed geometry, from Alexandria via LeMat-Bulk.

Unit cell a=7.8403 b=8.2857 c=13.5457 alpha=90.00 beta=124.05 gamma=90.00
Sites, in units of the cell vectors:
1 Rb 0.2194 0.0700 0.2458
2 Rb 0.2194 0.4300 0.7458
3 Rb 0.7806 0.5700 0.2542
4 Rb 0.7806 0.9300 0.7542
5 La 0.5000 0.0000 0.0000
6 La 0.5000 0.5000 0.5000
7 In 0.0000 0.0000 0.5000
8 In 0.0000 0.5000 0.0000
9 Cl 0.1581 0.1835 0.9447
10 Cl 0.1581 0.3165 0.4447
11 Cl 0.2546 0.7216 0.9307
12 Cl 0.2546 0.7784 0.4307
13 Cl 0.3882 0.0506 0.7668
14 Cl 0.3882 0.4494 0.2668
15 Cl 0.6118 0.5506 0.7332
16 Cl 0.6118 0.9494 0.2332
17 Cl 0.7454 0.2216 0.5693
18 Cl 0.7454 0.2784 0.0693
19 Cl 0.8419 0.6835 0.5553
20 Cl 0.8419 0.8165 0.0553

Values from the calculation:
The calculation puts the total energy at -3.9989 eV/atom. The formation energy (no corrections) is -1.931 eV/atom.

---

The following is a PBE calculation of crystalline Ba2CdAs2 at its relaxed geometry, from Alexandria via LeMat-Bulk.

Unit cell a=8.3425 b=8.3425 c=4.6656 alpha=90.00 beta=90.00 gamma=90.00
Sites, in units of the cell vectors:
1 Ba 0.1837 0.3163 0.0000
2 Ba 0.3163 0.8163 0.0000
3 Ba 0.6837 0.1837 0.0000
4 Ba 0.8163 0.6837 0.0000
5 Cd 0.0000 0.0000 0.5000
6 Cd 0.5000 0.5000 0.5000
7 As 0.1058 0.6058 0.5000
8 As 0.3942 0.1058 0.5000
9 As 0.6058 0.8942 0.5000
10 As 0.8942 0.3942 0.5000

Values from the calculation:
The calculation puts the total energy at -3.6176 eV/atom. The formation enthalpy at 0 K comes out at -806 meV per atom.

---

The following is a PBE calculation of crystalline AgN3O at its relaxed geometry, from Alexandria via LeMat-Bulk.

Unit cell a=4.1238 b=4.1238 c=4.1238 alpha=90.00 beta=90.00 gamma=90.00
Sites, in units of the cell vectors:
1 Ag 0.0000 0.0000 0.0000
2 N 0.0000 0.0000 0.5000
3 N 0.0000 0.5000 0.0000
4 N 0.5000 0.0000 0.0000
5 O 0.5000 0.5000 0.5000

Values from the calculation:
The calculation puts the total energy at -3.4190 eV/atom. The formation energy (no corrections) is 3.138 eV/atom.

---

The following is a PBE calculation of crystalline Hg2TeBr at its relaxed geometry, from Alexandria via LeMat-Bulk.

Unit cell a=7.8604 b=7.8604 c=5.7355 alpha=108.63 beta=108.63 gamma=62.36
Sites, in units of the cell vectors:
1 Hg 0.0000 0.0000 0.0000
2 Hg 0.4622 0.9406 0.7418
3 Hg 0.5818 0.5818 0.9890
4 Hg 0.9406 0.4622 0.7418
5 Te 0.2160 0.2160 0.0606
6 Te 0.8084 0.8084 0.5834
7 Br 0.2452 0.7411 0.3400
8 Br 0.7411 0.2452 0.3400

Values from the calculation:
The calculation puts the total energy at -1.6106 eV/atom. The formation energy (no corrections) is -0.256 eV/atom.

---

The following is a PBE calculation of crystalline PuZn2Au8 at its relaxed geometry, from Alexandria via LeMat-Bulk.

Unit cell a=8.0041 b=8.0041 c=7.0048 alpha=108.98 beta=108.98 gamma=29.03
Sites, in units of the cell vectors:
1 Pu 0.0000 0.0000 0.0000
2 Zn 0.2826 0.2826 0.3350
3 Zn 0.7174 0.7174 0.6650
4 Au 0.1048 0.1048 0.4672
5 Au 0.1808 0.1808 0.9197
6 Au 0.3431 0.3431 0.7683
7 Au 0.4556 0.4556 0.2839
8 Au 0.5444 0.5444 0.7161
9 Au 0.6569 0.6569 0.2317
10 Au 0.8192 0.8192 0.0803
11 Au 0.8952 0.8952 0.5328

Values from the calculation:
The calculation puts the total energy at -4.1159 eV/atom. The formation enthalpy at 0 K comes out at -198 meV per atom.

---

The following is a PBE calculation of crystalline LiPb at its relaxed geometry, from Alexandria via LeMat-Bulk.

Unit cell a=5.7033 b=5.7033 c=4.8930 alpha=90.00 beta=90.00 gamma=143.87
Sites, in units of the cell vectors:
1 Li 0.1234 0.8766 0.7500
2 Li 0.8766 0.1234 0.2500
3 Pb 0.3936 0.6064 0.7500
4 Pb 0.6064 0.3936 0.2500

Values from the calculation:
The calculation puts the total energy at -3.0196 eV/atom. The formation enthalpy at 0 K comes out at -209 meV per atom.

---

The following is a PBE calculation of crystalline Li2TiCdO4 at its relaxed geometry, from Alexandria via LeMat-Bulk.

Unit cell a=5.4841 b=5.4841 c=5.4841 alpha=127.69 beta=127.69 gamma=77.13
Sites, in units of the cell vectors:
1 Li 0.2500 0.7500 0.5000
2 Li 0.7500 0.2500 0.5000
3 Ti 0.0000 0.0000 0.0000
4 Cd 0.5000 0.5000 0.0000
5 O 0.0909 0.0909 0.4348
6 O 0.3439 0.9091 0.0000
7 O 0.6561 0.6561 0.5652
8 O 0.9091 0.3439 0.0000

Values from the calculation:
The calculation puts the total energy at -6.2669 eV/atom. The formation energy (no corrections) is -2.208 eV/atom.

---

The following is a PBE calculation of crystalline AcPd2Au5 at its relaxed geometry, from Alexandria via LeMat-Bulk.

Unit cell a=6.6780 b=6.6780 c=6.6780 alpha=143.47 beta=104.13 gamma=87.26
Sites, in units of the cell vectors:
1 Ac 0.0000 0.0000 0.0000
2 Pd 0.2165 0.7165 0.5000
3 Pd 0.7835 0.2835 0.5000
4 Au 0.1685 0.3478 0.8207
5 Au 0.4729 0.6522 0.8207
6 Au 0.5000 0.0000 0.5000
7 Au 0.5271 0.3478 0.1793
8 Au 0.8315 0.6522 0.1793

Values from the calculation:
The calculation puts the total energy at -4.2205 eV/atom. The formation enthalpy at 0 K comes out at -360 meV per atom.

---

The following is a PBE calculation of crystalline Ba2TcAgPb at its relaxed geometry, from Alexandria via LeMat-Bulk.

Unit cell a=5.9124 b=5.9124 c=5.2961 alpha=90.00 beta=90.00 gamma=90.00
Sites, in units of the cell vectors:
1 Ba 0.0000 0.5000 0.0000
2 Ba 0.5000 0.0000 0.0000
3 Tc 0.0000 0.0000 0.0000
4 Ag 0.5000 0.5000 0.5000
5 Pb 0.0000 0.0000 0.5000

Values from the calculation:
The calculation puts the total energy at -3.8646 eV/atom. The formation enthalpy at 0 K comes out at 290 meV per atom.

---

The following is a PBE calculation of crystalline TmSc3Co at its relaxed geometry, from Alexandria via LeMat-Bulk.

Unit cell a=6.8857 b=6.8857 c=6.8857 alpha=114.11 beta=94.45 gamma=120.92
Sites, in units of the cell vectors:
1 Tm 0.2557 0.0057 0.2500
2 Tm 0.7443 0.9943 0.7500
3 Sc 0.2427 0.4927 0.7500
4 Sc 0.2640 0.0000 0.7640
5 Sc 0.2640 0.5000 0.2640
6 Sc 0.7360 0.0000 0.2360
7 Sc 0.7360 0.5000 0.7360
8 Sc 0.7573 0.5073 0.2500
9 Co 0.0000 0.0000 0.5000
10 Co 0.0000 0.5000 0.0000

Values from the calculation:
The calculation puts the total energy at -6.1703 eV/atom. The formation enthalpy at 0 K comes out at -56 meV per atom.